Below is a relaxed structure of Tb2TiSe5, with properties calculated at the PBE level.

Calculated values
crystal system: orthorhombic
mass density: 5221 kg/m³
raw formation energy: -1454 meV per atom
E_tot: -5.776 eV/atom

Cell: 5.4740 13.6048 12.9905 Å, 90.00 90.00 90.00°
Closest atoms and distances in Å follow each position.
Space group Cmcm (No. 63)
Asymmetric unit:
Tb (0.0000, 0.1550, 0.0643) (multiplicity 8)  6 Se 2.80-2.93
Ti (0.0000, 0.1788, 0.7500) (multiplicity 4)  4 Se 2.43-2.70
Se (0.0000, 0.0471, 0.6230) (multiplicity 8)  1 Ti 2.43
Se (0.0000, 0.2774, 0.2500) (multiplicity 4)  2 Ti 2.80, 2 Tb 2.93
Se (0.0000, 0.3088, 0.5925) (multiplicity 8)  1 Ti 2.70, 3 Tb 2.80-2.92